Below is a geometry-optimized KDyNO structure, with properties calculated at the PBE level.

Summary:
Offset from the most stable computed form, meV per atom: 0
Total magnetization, μB per formula unit: 0.98
SG: Pbcm (57)
Volume, Å³/cell: 324.6

Cell lengths 8.743, 7.539, 4.924 Å; angles 90.00, 90.00, 90.00 degrees
Fractional coordinates of all 16 atoms:
K (0.107, 0.109, 0.250)
K (0.107, 0.391, 0.750)
K (0.893, 0.609, 0.250)
K (0.893, 0.891, 0.750)
Dy (0.381, 0.587, 0.250)
Dy (0.381, 0.913, 0.750)
Dy (0.619, 0.087, 0.250)
Dy (0.619, 0.413, 0.750)
N (0.412, 0.608, 0.750)
N (0.412, 0.892, 0.250)
N (0.588, 0.108, 0.750)
N (0.588, 0.392, 0.250)
O (0.171, 0.033, 0.750)
O (0.171, 0.467, 0.250)
O (0.829, 0.533, 0.750)
O (0.829, 0.967, 0.250)